An optimized crystal structure of KRhIBr2, computed with PBE.

Cell: 5.205 5.205 5.489 Å, 90.00 90.00 90.00°
Element x y z (fractional)
K 0.000 0.000 0.000
Rh 0.500 0.500 0.500
I 0.500 0.500 0.000
Br 0.000 0.500 0.500
Br 0.500 0.000 0.500

Computed properties:
formation energy without anion corrections	-663.8	meV/atom
DOS at the Fermi energy	0.484	states/eV per atom
raw total energy	-3.333	eV/atom